DFT (PBE) results for a relaxed SrDy2Hg crystal.

Geometry as extended XYZ:
```
4
Lattice="-2.1152 2.7206 -1.5322 -1.5042 -0.4840 -3.4243 -10.2238 -3.6820 2.9347" Properties=species:S:1:pos:R:3 pbc="T T T"
Sr -6.9150 -0.7194 -1.0142
Dy -8.3711 -2.7723 1.9923
Dy -3.0591 -0.1641 -0.7098
Hg -2.4196 1.4878 -3.3009
```

Output
formation energy	-47	meV per atom
D(E_F)	4.955	states/eV/f.u.
energy above the most stable polymorph in this dataset	5.5	kJ/mol of atoms
space-group type	R3m, No. 160
magnetization	0.0002	μB/atom
raw total energy	-2.8442	eV per atom


DFT (PBE) results for a relaxed Cs3PrPu2Te6 crystal.

Geometry as extended XYZ:
```
12
Lattice="8.0724 -0.0012 0.0001 -4.0353 6.9914 0.0001 -1.3462 -2.3309 8.9116" Properties=species:S:1:pos:R:3 pbc="T T T"
Cs -2.7159 4.6752 4.4559
Cs 5.4068 -0.0159 4.4559
Cs 1.3455 2.3296 4.4559
Pr 0.0000 0.0000 0.0000
Pu -0.0026 4.6624 0.0001
Pu 4.0397 2.3278 0.0001
Te 4.0599 2.2861 7.2015
Te 2.6661 4.6163 1.7015
Te -1.3690 2.3732 1.7104
Te -0.0489 4.6590 7.2015
Te 0.0248 0.0430 7.2104
Te 2.7398 0.0003 1.7104
```

Output
formation energy (no corrections)	-1.204	eV per atom
D(E_F)	27.109	states/eV/f.u.
space-group type	C2/m, No. 12
magnetization	0.8333	μB/atom
raw total energy	-5.7749	eV per atom


DFT (PBE) results for a relaxed SrV2GeC crystal.

Geometry as extended XYZ:
```
5
Lattice="4.2024 0.0000 0.0000 0.0000 5.0808 0.0000 0.0000 0.0000 4.2024" Properties=species:S:1:pos:R:3 pbc="T T T"
Sr 0.0000 2.5404 0.0000
Ge 2.1012 2.5404 2.1012
C 0.0000 0.0000 0.0000
V 0.0000 0.0000 2.1012
V 2.1012 0.0000 0.0000
```

Output
formation energy	302	meV per atom
D(E_F)	4.549	states/eV/f.u.
space-group type	P4/mmm, No. 123
magnetization	0.7168	μB/atom
raw total energy	-6.4499	eV per atom